No. 1
# Pr2AlGa3Pd4 PBE-GGA optimized geometry
data_Pr2AlGa3Pd4
_chemical_formula_sum 'Pr2 Al1 Ga3 Pd4'
_symmetry_space_group_name_H-M 'P 1'
_symmetry_Int_Tables_number 1
_cell_length_a 4.372
_cell_length_b 4.372
_cell_length_c 10.254
_cell_angle_alpha 90.00
_cell_angle_beta 90.00
_cell_angle_gamma 90.00
loop_
_symmetry_equiv_pos_as_xyz
'x,y,z'
loop_
_atom_site_label
_atom_site_type_symbol
_atom_site_fract_x
_atom_site_fract_y
_atom_site_fract_z
Pr1 Pr 0.000 0.500 0.250
Pr2 Pr 0.500 0.000 0.750
Al1 Al 0.000 0.000 0.500
Ga1 Ga 0.000 0.500 0.872
Ga2 Ga 0.500 0.000 0.128
Ga3 Ga 0.500 0.500 0.500
Pd1 Pd 0.000 0.000 0.000
Pd2 Pd 0.000 0.500 0.628
Pd3 Pd 0.500 0.000 0.372
Pd4 Pd 0.500 0.500 0.000
# - Total magnetic moment: 0.00 μB per formula unit
# - VASP energy: -5.13 eV per atom
# - Energy of formation from the pure elements: -818 meV per atom
# - Crystal system: tetragonal

No. 2
# Dy12Tm3Sc PBE-GGA optimized geometry
data_Dy12Tm3Sc
_chemical_formula_sum 'Dy12 Tm3 Sc1'
_symmetry_space_group_name_H-M 'P 1'
_symmetry_Int_Tables_number 1
_cell_length_a 4.973
_cell_length_b 4.973
_cell_length_c 19.859
_cell_angle_alpha 90.00
_cell_angle_beta 90.00
_cell_angle_gamma 90.00
loop_
_symmetry_equiv_pos_as_xyz
'x,y,z'
loop_
_atom_site_label
_atom_site_type_symbol
_atom_site_fract_x
_atom_site_fract_y
_atom_site_fract_z
Dy1 Dy 0.000 0.000 0.000
Dy2 Dy 0.000 0.000 0.248
Dy3 Dy 0.000 0.000 0.500
Dy4 Dy 0.000 0.000 0.752
Dy5 Dy 0.000 0.500 0.122
Dy6 Dy 0.000 0.500 0.374
Dy7 Dy 0.000 0.500 0.626
Dy8 Dy 0.000 0.500 0.878
Dy9 Dy 0.500 0.000 0.122
Dy10 Dy 0.500 0.000 0.374
Dy11 Dy 0.500 0.000 0.626
Dy12 Dy 0.500 0.000 0.878
Tm1 Tm 0.500 0.500 0.248
Tm2 Tm 0.500 0.500 0.500
Tm3 Tm 0.500 0.500 0.752
Sc1 Sc 0.500 0.500 0.000
# - Total magnetic moment: 0.00 μB per formula unit
# - VASP energy: -4.66 eV per atom
# - Energy of formation from the pure elements: 25 meV per atom
# - Crystal system: tetragonal

No. 3
# LaAs4W PBE-GGA optimized geometry
data_LaAs4W
_chemical_formula_sum 'La1 As4 W1'
_symmetry_space_group_name_H-M 'P 1'
_symmetry_Int_Tables_number 1
_cell_length_a 5.613
_cell_length_b 5.613
_cell_length_c 5.613
_cell_angle_alpha 60.00
_cell_angle_beta 60.00
_cell_angle_gamma 60.00
loop_
_symmetry_equiv_pos_as_xyz
'x,y,z'
loop_
_atom_site_label
_atom_site_type_symbol
_atom_site_fract_x
_atom_site_fract_y
_atom_site_fract_z
La1 La 0.000 0.000 0.000
As1 As 0.377 0.377 0.377
As2 As 0.377 0.377 0.870
As3 As 0.377 0.870 0.377
As4 As 0.870 0.377 0.377
W1 W 0.750 0.750 0.750
# - Total magnetic moment: 2.11 μB per formula unit
# - VASP energy: -5.63 eV per atom
# - Energy of formation from the pure elements: 445 meV per atom
# - Crystal system: cubic

No. 4
# TcSbOs2 PBE-GGA optimized geometry
data_TcSbOs2
_chemical_formula_sum 'Tc1 Sb1 Os2'
_symmetry_space_group_name_H-M 'P 1'
_symmetry_Int_Tables_number 1
_cell_length_a 4.489
_cell_length_b 4.489
_cell_length_c 4.489
_cell_angle_alpha 60.00
_cell_angle_beta 60.00
_cell_angle_gamma 60.00
loop_
_symmetry_equiv_pos_as_xyz
'x,y,z'
loop_
_atom_site_label
_atom_site_type_symbol
_atom_site_fract_x
_atom_site_fract_y
_atom_site_fract_z
Tc1 Tc 0.000 0.000 0.000
Sb1 Sb 0.750 0.750 0.750
Os1 Os 0.250 0.250 0.250
Os2 Os 0.500 0.500 0.500
# - Total magnetic moment: 0.00 μB per formula unit
# - Formation energy from raw total energies: 0.6256 eV per atom
# - VASP energy: -8.61 eV per atom
# - Crystal system: cubic

No. 5
# LiIr5Rh6 PBE-GGA optimized geometry
data_LiIr5Rh6
_chemical_formula_sum 'Li1 Ir5 Rh6'
_symmetry_space_group_name_H-M 'P 1'
_symmetry_Int_Tables_number 1
_cell_length_a 6.083
_cell_length_b 6.083
_cell_length_c 7.648
_cell_angle_alpha 90.00
_cell_angle_beta 90.00
_cell_angle_gamma 143.07
loop_
_symmetry_equiv_pos_as_xyz
'x,y,z'
loop_
_atom_site_label
_atom_site_type_symbol
_atom_site_fract_x
_atom_site_fract_y
_atom_site_fract_z
Li1 Li 0.000 0.000 0.000
Ir1 Ir 0.000 0.000 0.500
Ir2 Ir 0.328 0.672 0.000
Ir3 Ir 0.332 0.668 0.500
Ir4 Ir 0.668 0.332 0.500
Ir5 Ir 0.672 0.328 0.000
Rh1 Rh 0.164 0.836 0.247
Rh2 Rh 0.164 0.836 0.753
Rh3 Rh 0.500 0.500 0.253
Rh4 Rh 0.500 0.500 0.747
Rh5 Rh 0.836 0.164 0.247
Rh6 Rh 0.836 0.164 0.753
# - Total magnetic moment: 0.00 μB per formula unit
# - VASP energy: -7.55 eV per atom
# - Energy of formation from the pure elements: -19 meV per atom
# - Crystal system: orthorhombic

No. 6
# Sr3OsN4 PBE-GGA optimized geometry
data_Sr3OsN4
_chemical_formula_sum 'Sr6 Os2 N8'
_symmetry_space_group_name_H-M 'P 1'
_symmetry_Int_Tables_number 1
_cell_length_a 7.911
_cell_length_b 7.114
_cell_length_c 5.693
_cell_angle_alpha 90.00
_cell_angle_beta 90.00
_cell_angle_gamma 90.00
loop_
_symmetry_equiv_pos_as_xyz
'x,y,z'
loop_
_atom_site_label
_atom_site_type_symbol
_atom_site_fract_x
_atom_site_fract_y
_atom_site_fract_z
Sr1 Sr 0.000 0.139 0.000
Sr2 Sr 0.243 0.336 0.505
Sr3 Sr 0.257 0.664 0.005
Sr4 Sr 0.500 0.861 0.500
Sr5 Sr 0.743 0.664 0.005
Sr6 Sr 0.757 0.336 0.505
Os1 Os 0.000 0.829 0.459
Os2 Os 0.500 0.171 0.959
N1 N 0.000 0.087 0.529
N2 N 0.000 0.817 0.132
N3 N 0.196 0.705 0.551
N4 N 0.304 0.295 0.051
N5 N 0.500 0.183 0.632
N6 N 0.500 0.913 0.029
N7 N 0.696 0.295 0.051
N8 N 0.804 0.705 0.551
# - Total magnetic moment: 0.00 μB per formula unit
# - Formation energy from raw total energies: -0.4468 eV per atom
# - VASP energy: -6.64 eV per atom
# - Crystal system: orthorhombic

What is the formula in the second record?
Dy12Tm3Sc

Number 2 is which compound?
Dy12Tm3Sc